Record 1
9
Lattice="4.253 0.000 0.000 2.127 7.044 0.990 2.127 2.361 6.710" Properties=species:S:1:pos:R:3 comment="LaAl6Ag2 | Alexandria | PBE-GGA | optimized geometry" e_tot_ev_per_atom=-3.714 e_form_ev_per_atom=-0.037 rho_g_cm3=4.49 pbc="T T T"
Al 2.127 0.965 2.562
Al 4.253 5.505 2.869
Ag 2.127 3.616 2.961
Al 2.127 2.702 0.440
Ag 6.380 5.789 4.739
Al 4.253 3.899 4.831
La 0.000 0.000 0.000
Al 6.380 8.440 5.137
Al 6.380 6.702 7.260

=====

Record 2
4
Lattice="-1.578 7.951 -5.870 -4.275 5.909 -6.854 -4.565 7.957 -4.002" Properties=species:S:1:pos:R:3 comment="Tl2AgHg | Alexandria | PBE-GGA | optimized geometry" e_tot_ev_per_atom=-1.890 e_form_ev_per_atom=0.082 polymorph_energy_mev_per_atom=13 rho_g_cm3=11.31 pbc="T T T"
Ag -5.174 10.835 -8.307
Tl -2.502 5.240 -4.017
Hg -7.899 16.543 -12.682
Tl -0.052 0.108 -0.083

=====

Record 3
14
Lattice="-3.524 -1.891 -1.315 -0.313 -4.071 6.693 -6.561 8.744 5.011" Properties=species:S:1:pos:R:3 comment="Ho4Bi2B | Alexandria | PBE-GGA | optimized geometry" e_tot_ev_per_atom=-5.210 e_form_ev_per_atom=-0.532 polymorph_energy_mev_per_atom=50 rho_g_cm3=9.11 pbc="T T T"
B -3.281 4.372 2.506
Bi -7.517 2.558 9.729
Ho -5.667 0.625 7.552
Bi -6.273 3.145 5.552
Bi -2.881 0.224 0.661
Ho -5.501 4.491 8.287
Ho -4.580 5.507 4.357
Ho -4.731 2.157 2.838
Ho -8.049 6.043 6.144
Ho -2.294 -0.834 7.348
Ho -1.373 0.182 3.418
Bi -4.125 -0.363 4.838
Ho -2.349 -3.261 4.246
B -0.156 -2.035 3.347

=====

Record 4
5
Lattice="5.905 0.000 0.000 0.000 5.905 0.000 0.000 0.000 5.905" Properties=species:S:1:pos:R:3 comment="Na3YTc | Alexandria | PBE-GGA | optimized geometry" e_tot_ev_per_atom=-2.262 e_form_ev_per_atom=1.895 polymorph_energy_mev_per_atom=512 rho_g_cm3=2.06 pbc="T T T"
Y 0.000 0.000 0.000
Tc 2.952 2.952 2.952
Na 0.000 2.952 0.000
Na 0.000 0.000 2.952
Na 2.952 0.000 0.000